No. 1
## Er6HgRu2 (GGA-PBE)

Data for crystalline Er6HgRu2 at its relaxed geometry.

Geometry as POSCAR:
```
Er6HgRu2
1.0
-5.0735 5.8333 -3.2364
-4.1649 -6.6175 3.0174
4.2588 2.8109 6.6486
Er Ru Hg
12 4 2
Cartesian
-2.8633 -1.5051 3.1293
-2.8315 -2.7929 6.3994
-6.7538 1.0124 0.4643
-2.1163 3.5318 3.3002
-4.8869 3.1733 -1.5842
-2.1480 4.8196 0.0302
-2.7810 1.3496 0.5585
-0.1412 0.8180 3.0252
1.7743 1.0143 5.9652
-2.1985 0.6771 5.8710
-4.8384 1.2088 3.4044
-0.0927 -1.1466 8.0137
-0.3725 2.9093 5.2937
-4.6071 -0.8825 1.1358
-0.2653 2.8151 1.1112
-0.5494 5.8292 2.3010
0.0470 -1.9033 4.8330
0.0000 0.0000 0.0000
```

Results
The calculated total energy comes out at -5.525 eV per atom. The crystal system is orthorhombic. Its polymorph energy (0 for the lowest one) is 0.0 kJ/mol of atoms.

No. 2
## Er3Hg2Ru (GGA-PBE)

Data for crystalline Er3Hg2Ru at its relaxed geometry.

Geometry as POSCAR:
```
Er3Hg2Ru
1.0
-2.5335 -3.2222 -2.9223
-4.5363 -4.5413 4.6043
-5.4771 4.8563 -0.6063
Hg Er Ru
4 6 2
Cartesian
-7.4605 -2.7554 0.8345
-2.7385 2.4282 -0.3032
0.0000 0.0000 0.0000
-5.0863 -0.1518 0.2412
-4.6316 -2.4280 2.3569
-2.5478 -0.4751 -1.6029
-7.9152 -0.4791 -1.2812
-5.4627 2.1093 -1.9257
-7.6423 0.2413 2.0236
-4.9045 -3.1484 -0.9478
-2.3510 -2.5828 0.5504
-4.7187 -5.1806 1.1317
```

Results
The calculated total energy comes out at -4.410 eV per atom. The crystal system is orthorhombic.

No. 3
## Er4HgRu (GGA-PBE)

Data for crystalline Er4HgRu at its relaxed geometry.

Geometry as POSCAR:
```
Er4HgRu
1.0
-3.1009 -5.1476 -1.4179
0.0219 3.2511 -6.8257
6.7097 -3.0972 1.5960
Er Ru Hg
8 2 2
Cartesian
2.5461 -5.0573 -4.3516
4.5872 -4.7925 -1.1548
3.0257 -1.4670 -4.9911
-0.9565 -0.2012 -5.4928
0.6051 -3.5267 -1.6565
1.8996 -6.9579 -0.6528
1.7312 1.9642 -5.9948
1.0847 0.0636 -2.2959
4.3776 -6.9518 0.5245
-0.7468 1.9581 -7.1720
3.4382 -2.0145 -1.9020
0.1926 -2.9793 -4.7455
```

Results
The calculated total energy comes out at -5.033 eV per atom. The crystal system is monoclinic. Its polymorph energy (0 for the lowest one) is 0.0 kJ/mol of atoms.

Number 1: V 24.97 A^3/atom. Number 2: V 23.07 A^3/atom. Number 3: V 26.37 A^3/atom.